# 1
MnTlPt4, optimized geometry, DFT PBE; N(E_F) = 4.0 states/eV/f.u.; formation enthalpy at 0 K = -0.21 eV/f.u.
1.0
0.000 3.789 3.789
3.789 0.000 3.789
3.789 3.789 0.000
Mn Tl Pt
1 1 4
Direct
0.000 0.000 0.000
0.750 0.750 0.750
0.375 0.375 0.375
0.375 0.375 0.875
0.375 0.875 0.375
0.875 0.375 0.375

# 2
UBr4Cl, optimized geometry, DFT PBE; N(E_F) = 1.5 states/eV/f.u.; E_form (uncorrected) = -1301 meV/atom
1.0
5.390 0.000 0.000
-0.254 11.617 0.000
-0.001 -0.003 12.198
U Br Cl
2 8 2
Direct
0.000 0.000 0.000
0.499 0.500 0.500
0.005 0.170 0.144
0.007 0.151 0.838
0.493 0.349 0.338
0.495 0.330 0.644
0.506 0.670 0.356
0.507 0.651 0.662
0.993 0.849 0.162
0.994 0.830 0.856
0.500 0.000 0.000
0.998 0.499 0.502

# 3
HgBiSe2Br, optimized geometry, DFT PBE; energy relative to the lowest polymorph listed for this composition = 0.0 meV per atom; E_form (uncorrected) = -312 meV/atom
1.0
10.356 0.000 0.000
0.000 4.356 0.000
-5.042 0.000 9.123
Hg Bi Se Br
2 2 4 2
Direct
0.090 0.250 0.122
0.910 0.750 0.878
0.307 0.750 0.442
0.693 0.250 0.558
0.015 0.250 0.812
0.396 0.250 0.308
0.604 0.750 0.692
0.985 0.750 0.188
0.222 0.250 0.579
0.778 0.750 0.421

# 4
NaSrMgCu2, optimized geometry, DFT PBE; N(E_F) = 2.5 states/eV/f.u.; formation enthalpy at 0 K = 3.88 eV/f.u.
1.0
5.047 0.000 0.000
0.000 5.047 0.000
0.000 0.000 5.598
Na Sr Mg Cu
1 1 1 2
Direct
0.000 0.000 0.000
0.000 0.000 0.500
0.500 0.500 0.500
0.000 0.500 0.000
0.500 0.000 0.000

# 5
Li3Pm2Cu12Rh, optimized geometry, DFT PBE; N(E_F) = 6.2 states/eV/f.u.; formation enthalpy at 0 K = 1.91 eV/f.u.
1.0
2.902 1.676 9.739
-2.902 1.676 9.739
0.000 -3.351 9.739
Li Pm Cu Rh
3 2 12 1
Direct
0.000 0.500 0.500
0.500 0.000 0.500
0.500 0.500 0.000
0.145 0.145 0.145
0.855 0.855 0.855
0.087 0.087 0.680
0.087 0.680 0.087
0.127 0.584 0.584
0.320 0.913 0.913
0.416 0.416 0.873
0.416 0.873 0.416
0.584 0.127 0.584
0.584 0.584 0.127
0.680 0.087 0.087
0.873 0.416 0.416
0.913 0.320 0.913
0.913 0.913 0.320
0.500 0.500 0.500

# 6
Na2TaV2, optimized geometry, DFT PBE; energy relative to the lowest polymorph listed for this composition = 484.8 meV per atom; N(E_F) = 4.6 states/eV/f.u.; formation enthalpy at 0 K = 6.64 eV/f.u.
1.0
8.319 0.000 0.000
0.000 8.319 0.000
0.000 0.000 2.858
Na Ta V
4 2 4
Direct
0.211 0.289 0.000
0.289 0.789 0.000
0.711 0.211 0.000
0.789 0.711 0.000
0.000 0.000 0.500
0.500 0.500 0.500
0.079 0.579 0.500
0.421 0.079 0.500
0.579 0.921 0.500
0.921 0.421 0.500

Question: What is the formula in the third record?
Answer: HgBiSe2Br